Record 1
Entry from the Alexandria database: a relaxed CaThAlZn crystal (PBE-GGA).

Summary:
Space-group type: No. 216

POSCAR file:
```
CaThAlZn
1.0
-2.289 4.648 0.623
-4.965 0.272 1.584
-1.118 1.737 4.793
Zn Th Al Ca
1 1 1 1
Direct
0.000 0.000 0.000 Zn
0.250 0.250 0.250 Th
0.500 0.500 0.500 Al
0.750 0.750 0.750 Ca
```



Record 2
Entry from the Alexandria database: a relaxed MnMo2W crystal (PBE-GGA).

Summary:
Energy above the most stable polymorph in this dataset: 199.5 meV/atom
Space-group type: No. 123

POSCAR file:
```
MnMo2W
1.0
-2.125 -0.278 1.678
1.450 -1.700 1.555
2.622 6.216 4.352
Mn Mo W
1 2 1
Direct
0.500 0.500 0.750 Mn
0.000 0.000 0.532 Mo
0.000 0.000 0.968 Mo
0.500 0.500 0.250 W
```



Record 3
Entry from the Alexandria database: a relaxed BaMn2PtSe crystal (PBE-GGA).

Summary:
Space-group type: No. 123

POSCAR file:
```
BaMn2PtSe
1.0
-3.607 1.768 -4.104
-2.014 -5.251 -0.492
-3.971 1.150 3.986
Pt Ba Mn Se
1 1 2 1
Direct
0.500 0.500 0.500 Pt
0.000 0.000 0.000 Ba
0.000 0.000 0.500 Mn
0.500 0.000 0.000 Mn
0.000 0.500 0.000 Se
```



Record 4
Entry from the Alexandria database: a relaxed ZrPSeS2 crystal (PBE-GGA).

Summary:
Energy above the most stable polymorph in this dataset: 0.0 meV/atom
Space-group type: No. 123

POSCAR file:
```
ZrPSeS2
1.0
4.849 0.000 0.000
0.000 4.849 0.000
0.000 0.000 5.473
S P Se Zr
2 1 1 1
Direct
0.000 0.500 0.000 S
0.500 0.000 0.000 S
0.000 0.000 0.500 P
0.500 0.500 0.500 Se
0.000 0.000 0.000 Zr
```



Record 5
Entry from the Alexandria database: a relaxed CaOF2 crystal (PBE-GGA).

Summary:
Energy above the most stable polymorph in this dataset: 237.5 meV/atom
Space-group type: No. 122

POSCAR file:
```
CaOF2
1.0
-3.173 2.539 0.440
-2.228 -2.354 -2.491
-4.948 -3.683 4.553
O F Ca
2 4 2
Direct
0.250 0.750 0.500 O
0.500 0.500 0.000 O
0.653 0.125 0.250 F
0.097 0.625 0.250 F
0.375 0.347 0.750 F
0.875 0.903 0.750 F
0.000 0.000 0.000 Ca
0.750 0.250 0.500 Ca
```



Record 6
Entry from the Alexandria database: a relaxed Ca3ZnGe crystal (PBE-GGA).

Summary:
Energy above the most stable polymorph in this dataset: 0.0 meV/atom
Space-group type: No. 12

POSCAR file:
```
Ca3ZnGe
1.0
3.776 -0.001 -0.001
-1.889 8.333 -0.274
-0.003 -0.667 9.106
Zn Ge Ca
2 2 6
Direct
0.813 0.659 0.781 Zn
0.231 0.495 0.641 Zn
0.412 0.857 0.291 Ge
0.633 0.297 0.130 Ge
0.975 0.984 0.037 Ca
0.624 0.281 0.794 Ca
0.069 0.170 0.385 Ca
0.420 0.873 0.628 Ca
0.270 0.573 0.040 Ca
0.774 0.581 0.382 Ca
```



Record 7
Entry from the Alexandria database: a relaxed Mg12Ge3H5 crystal (PBE-GGA).

Summary:
Space-group type: No. 230

POSCAR file:
```
Mg12Ge3H5
1.0
-5.576 -4.192 9.886
3.272 -9.288 -7.030
9.834 6.250 3.261
H Mg Ge
20 48 12
Direct
0.500 0.000 0.000 H
0.125 0.375 0.250 H
0.000 0.500 0.500 H
0.750 0.625 0.375 H
0.250 0.875 0.125 H
0.250 0.375 0.625 H
0.750 0.125 0.875 H
0.625 0.750 0.875 H
0.500 0.500 0.000 H
0.000 0.500 0.000 H
0.625 0.875 0.250 H
0.875 0.625 0.750 H
0.375 0.125 0.750 H
0.000 0.000 0.500 H
0.000 0.000 0.000 H
0.500 0.500 0.500 H
0.125 0.750 0.375 H
0.375 0.250 0.125 H
0.875 0.250 0.625 H
0.500 0.000 0.500 H
0.810 0.905 0.017 Mg
0.905 0.095 0.612 Mg
0.095 0.190 0.483 Mg
0.595 0.983 0.690 Mg
0.706 0.112 0.017 Mg
0.794 0.310 0.905 Mg
0.595 0.706 0.690 Mg
0.888 0.294 0.483 Mg
0.294 0.888 0.983 Mg
0.017 0.612 0.706 Mg
0.405 0.294 0.310 Mg
0.612 0.595 0.905 Mg
0.905 0.810 0.517 Mg
0.810 0.905 0.294 Mg
0.595 0.612 0.405 Mg
0.294 0.405 0.810 Mg
0.517 0.206 0.112 Mg
0.405 0.112 0.595 Mg
0.405 0.017 0.310 Mg
0.190 0.095 0.706 Mg
0.112 0.405 0.095 Mg
0.888 0.595 0.905 Mg
0.690 0.206 0.595 Mg
0.112 0.706 0.517 Mg
0.983 0.595 0.190 Mg
0.483 0.794 0.888 Mg
0.017 0.405 0.810 Mg
0.095 0.905 0.388 Mg
0.095 0.905 0.112 Mg
0.983 0.388 0.294 Mg
0.095 0.190 0.206 Mg
0.388 0.983 0.794 Mg
0.905 0.095 0.888 Mg
0.405 0.388 0.595 Mg
0.310 0.794 0.405 Mg
0.690 0.483 0.595 Mg
0.905 0.810 0.794 Mg
0.483 0.690 0.095 Mg
0.310 0.517 0.405 Mg
0.612 0.017 0.206 Mg
0.706 0.595 0.190 Mg
0.190 0.095 0.983 Mg
0.388 0.405 0.095 Mg
0.206 0.690 0.095 Mg
0.794 0.483 0.388 Mg
0.517 0.310 0.905 Mg
0.206 0.517 0.612 Mg
0.595 0.888 0.405 Mg
0.250 0.625 0.875 Ge
0.625 0.375 0.750 Ge
0.125 0.875 0.750 Ge
0.125 0.250 0.875 Ge
0.875 0.125 0.250 Ge
0.250 0.125 0.375 Ge
0.375 0.625 0.250 Ge
0.625 0.250 0.375 Ge
0.750 0.375 0.125 Ge
0.750 0.875 0.625 Ge
0.875 0.750 0.125 Ge
0.375 0.750 0.625 Ge
```



Record 8
Entry from the Alexandria database: a relaxed PrHoHgGe crystal (PBE-GGA).

Summary:
Space-group type: No. 216

POSCAR file:
```
PrHoHgGe
1.0
5.243 0.000 0.000
2.622 4.541 0.000
2.622 1.514 4.281
Pr Ho Hg Ge
1 1 1 1
Direct
0.250 0.250 0.250 Pr
0.750 0.750 0.750 Ho
0.500 0.500 0.500 Hg
0.000 0.000 0.000 Ge
```



Uncorrected energy / eV/atom: -3.787, -10.692, -4.075, -5.005, -4.628, -2.710, -2.511, -4.113
Volume / Å³/atom: 25.1, 14.9, 37.2, 25.7, 14.8, 28.6, 17.0, 25.5